Entry 1:
# Zr2GaSn (GGA-PBE, relaxed)
# - magnetic moment (μB per cell) = 0.0
# - energy of formation from the pure elements (eV per formula unit) = -1.87
data_Zr2GaSn
_cell_length_a 4.417
_cell_length_b 4.417
_cell_length_c 4.258
_cell_angle_alpha 90.00
_cell_angle_beta 90.00
_cell_angle_gamma 90.00
_space_group_name_H-M_alt 'P 1'
_space_group_IT_number 1
loop_
_space_group_symop_operation_xyz
'x,y,z'
loop_
_atom_site_label
_atom_site_fract_x
_atom_site_fract_y
_atom_site_fract_z
Zr1 0.000 0.500 0.000
Zr2 0.500 0.000 0.000
Ga1 0.000 0.000 0.500
Sn1 0.500 0.500 0.500

---

Entry 2:
# BeCoRe2 (GGA-PBE, relaxed)
# - magnetic moment (μB per cell) = 0.0
# - energy of formation from the pure elements (eV per formula unit) = 0.28
data_BeCoRe2
_cell_length_a 3.593
_cell_length_b 3.593
_cell_length_c 7.702
_cell_angle_alpha 90.00
_cell_angle_beta 90.00
_cell_angle_gamma 90.00
_space_group_name_H-M_alt 'P 1'
_space_group_IT_number 1
loop_
_space_group_symop_operation_xyz
'x,y,z'
loop_
_atom_site_label
_atom_site_fract_x
_atom_site_fract_y
_atom_site_fract_z
Be1 0.000 0.000 0.000
Be2 0.500 0.500 0.500
Co1 0.000 0.500 0.750
Co2 0.500 0.000 0.250
Re1 0.000 0.000 0.500
Re2 0.000 0.500 0.250
Re3 0.500 0.000 0.750
Re4 0.500 0.500 0.000

---

Entry 3:
# Li2ZnP (GGA-PBE, relaxed)
# - magnetic moment (μB per cell) = 0.0
# - energy of formation from the pure elements (eV per formula unit) = -1.32
# - polymorph energy (0 for the lowest one) (eV/f.u.) = 0.25
data_Li2ZnP
_cell_length_a 4.105
_cell_length_b 2.818
_cell_length_c 10.104
_cell_angle_alpha 90.00
_cell_angle_beta 90.00
_cell_angle_gamma 90.00
_space_group_name_H-M_alt 'P 1'
_space_group_IT_number 1
loop_
_space_group_symop_operation_xyz
'x,y,z'
loop_
_atom_site_label
_atom_site_fract_x
_atom_site_fract_y
_atom_site_fract_z
Li1 0.000 0.000 0.000
Li2 0.000 0.500 0.500
Li3 0.500 0.000 0.329
Li4 0.500 0.500 0.829
Zn1 0.500 0.000 0.592
Zn2 0.500 0.500 0.092
P1 0.000 0.000 0.736
P2 0.000 0.500 0.236

---

Entry 4:
# CaBe3Pt (GGA-PBE, relaxed)
# - magnetic moment (μB per cell) = 0.0
# - energy of formation from the pure elements (eV per formula unit) = -1.23
# - polymorph energy (0 for the lowest one) (eV/f.u.) = 0.00
data_CaBe3Pt
_cell_length_a 4.347
_cell_length_b 4.347
_cell_length_c 4.347
_cell_angle_alpha 90.00
_cell_angle_beta 90.00
_cell_angle_gamma 90.00
_space_group_name_H-M_alt 'P 1'
_space_group_IT_number 1
loop_
_space_group_symop_operation_xyz
'x,y,z'
loop_
_atom_site_label
_atom_site_fract_x
_atom_site_fract_y
_atom_site_fract_z
Ca1 0.000 0.000 0.000
Be1 0.000 0.500 0.500
Be2 0.500 0.000 0.500
Be3 0.500 0.500 0.000
Pt1 0.500 0.500 0.500

---

Entry 5:
# NdEuHgPt (GGA-PBE, relaxed)
# - magnetic moment (μB per cell) = 27.9
# - energy of formation from the pure elements (eV per formula unit) = -2.84
data_NdEuHgPt
_cell_length_a 7.429
_cell_length_b 7.429
_cell_length_c 7.429
_cell_angle_alpha 90.00
_cell_angle_beta 90.00
_cell_angle_gamma 90.00
_space_group_name_H-M_alt 'P 1'
_space_group_IT_number 1
loop_
_space_group_symop_operation_xyz
'x,y,z'
loop_
_atom_site_label
_atom_site_fract_x
_atom_site_fract_y
_atom_site_fract_z
Nd1 0.000 0.000 0.000
Nd2 0.000 0.500 0.500
Nd3 0.500 0.000 0.500
Nd4 0.500 0.500 0.000
Eu1 0.000 0.000 0.500
Eu2 0.000 0.500 0.000
Eu3 0.500 0.000 0.000
Eu4 0.500 0.500 0.500
Hg1 0.250 0.250 0.750
Hg2 0.250 0.750 0.250
Hg3 0.750 0.250 0.250
Hg4 0.750 0.750 0.750
Pt1 0.250 0.250 0.250
Pt2 0.250 0.750 0.750
Pt3 0.750 0.250 0.750
Pt4 0.750 0.750 0.250

---

Entry 6:
# Pm4TlAu (GGA-PBE, relaxed)
# - magnetic moment (μB per cell) = 0.0
# - energy of formation from the pure elements (eV per formula unit) = -2.23
# - polymorph energy (0 for the lowest one) (eV/f.u.) = 0.00
data_Pm4TlAu
_cell_length_a 5.564
_cell_length_b 7.183
_cell_length_c 9.020
_cell_angle_alpha 90.00
_cell_angle_beta 97.93
_cell_angle_gamma 90.00
_space_group_name_H-M_alt 'P 1'
_space_group_IT_number 1
loop_
_space_group_symop_operation_xyz
'x,y,z'
loop_
_atom_site_label
_atom_site_fract_x
_atom_site_fract_y
_atom_site_fract_z
Pm1 0.171 0.250 0.055
Pm2 0.210 0.750 0.377
Pm3 0.315 0.517 0.734
Pm4 0.315 0.983 0.734
Pm5 0.685 0.017 0.266
Pm6 0.685 0.483 0.266
Pm7 0.790 0.250 0.623
Pm8 0.829 0.750 0.945
Tl1 0.233 0.250 0.418
Tl2 0.767 0.750 0.582
Au1 0.343 0.750 0.056
Au2 0.657 0.250 0.944

---

The lowest energy of formation from the pure elements belongs to which entry?
NdEuHgPt